{"formula": "BaGa3Rh", "functional": "GGA-PBEsol", "state": "relaxed", "formation_enthalpy_0k_ev_per_fu": -2.61, "lattice": [[4.7943, 0.0000, 0.0000], [0.0000, 4.7943, 0.0000], [0.0000, 0.0000, 4.7943]], "species": ["Ba", "Ga", "Ga", "Ga", "Rh"], "fractional_positions": [[0.0000, 0.0000, 0.0000], [0.0000, 0.5000, 0.5000], [0.5000, 0.0000, 0.5000], [0.5000, 0.5000, 0.0000], [0.5000, 0.5000, 0.5000]]}